## BaCrSe2N (PBE)

Data for crystalline BaCrSe2N at its relaxed geometry.

Output
DOS at the Fermi energy	2.21	states/eV/f.u.
M_tot	1.15	Bohr magnetons per cell
energy relative to the lowest polymorph listed for this composition	0	meV per atom
space-group type	No. 123
uncorrected formation energy	-3.32	eV/f.u.

Geometry as extended XYZ:
```
5
Lattice="-1.838 -4.963 0.844 1.038 0.506 5.233 -3.412 1.357 0.546" Properties=species:S:1:pos:R:3 pbc="T T T"
Se 0.519 0.253 2.617
Cr 0.000 0.000 0.000
N -1.706 0.678 0.273
Se -0.919 -2.481 0.422
Ba -2.106 -1.550 3.312
```